Entry 1:
First-principles (PBE) data for ZrZnRu2 after structural relaxation, as listed in Alexandria.

Properties
formation enthalpy at 0 K = -0.177 eV/atom
space group = I-4m2 (119)
total energy = -29.084 eV per cell
V = 15.78 A^3/atom
crystal system = tetragonal

The structure in POSCAR format:
```
ZrZnRu2
1.0
-1.909 1.909 4.331
1.909 -1.909 4.331
1.909 1.909 -4.331
Zr Zn Ru
1 1 2
Direct
0.000 0.000 0.000
0.750 0.250 0.500
0.250 0.750 0.500
0.500 0.500 0.000
```

Entry 2:
First-principles (PBE) data for Zn2SiHgMo after structural relaxation, as listed in Alexandria.

Properties
space group = P4/mmm (123)
total energy = -12.109 eV per cell
V = 24.15 A^3/atom
crystal system = tetragonal
formation energy without anion corrections = 1.40 eV/atom

The structure in POSCAR format:
```
Zn2SiHgMo
1.0
4.852 0.000 0.000
0.000 4.852 0.000
0.000 0.000 5.130
Zn Si Hg Mo
2 1 1 1
Direct
0.000 0.500 0.000
0.500 0.000 0.000
0.000 0.000 0.500
0.000 0.000 0.000
0.500 0.500 0.500
```

Entry 3:
First-principles (PBE) data for Pa3Fe3B8 after structural relaxation, as listed in Alexandria.

Properties
formation enthalpy at 0 K = -0.291 eV/atom
space group = Immm (71)
total energy = -111.365 eV per cell
V = 11.38 A^3/atom
crystal system = orthorhombic

The structure in POSCAR format:
```
Pa3Fe3B8
1.0
-1.607 3.656 6.779
1.607 -3.656 6.779
1.607 3.656 -6.779
Pa Fe B
3 3 8
Direct
0.000 0.000 0.000
0.284 0.284 0.000
0.716 0.716 0.000
0.273 0.500 0.773
0.500 0.000 0.500
0.727 0.500 0.227
0.001 0.641 0.359
0.126 0.869 0.256
0.282 0.641 0.641
0.387 0.131 0.256
0.613 0.869 0.744
0.718 0.359 0.359
0.874 0.131 0.744
0.999 0.359 0.641
```